Density functional theory data (GGA-PBE) for crystalline SrNb2ReTc at its relaxed geometry.

Results
total DFT energy (no corrections) = -29.03 eV/f.u.
magnetization = 0.0 μB per formula unit
energy of formation from the pure elements = 3.12 eV per atom

Cell and atoms, written as CIF:
```
data_SrNb2ReTc
_cell_length_a 4.7591
_cell_length_b 4.6295
_cell_length_c 4.7591
_cell_angle_alpha 90.00
_cell_angle_beta 90.00
_cell_angle_gamma 90.00
_space_group_name_H-M_alt 'P 1'
_space_group_IT_number 1
_space_group_name_Hall 'P 1'
loop_
_atom_site_label
_atom_site_fract_x
_atom_site_fract_y
_atom_site_fract_z
Re1 0.0000 0.5000 0.0000
Nb1 0.0000 0.0000 0.5000
Nb2 0.5000 0.0000 0.0000
Tc1 0.5000 0.5000 0.5000
Sr1 0.0000 0.0000 0.0000
```